(1)
! PBE Ac2ZnO4F, optimized geometry; values from VASP
! SG: C2/m, No. 12
! E_form (uncorrected), meV/atom: -2587
&SYSTEM
  ibrav = 0, nat = 16, ntyp = 4
/
ATOMIC_SPECIES
Ac 227.00 Ac.upf
Zn 65.41 Zn.upf
O 16.00 O.upf
F 19.00 F.upf
CELL_PARAMETERS angstrom
8.998 0.000 0.000
0.000 3.787 0.000
-2.707 0.000 6.958
ATOMIC_POSITIONS crystal
Ac 0.189 0.000 0.220
Ac 0.311 0.500 0.780
Ac 0.689 0.500 0.220
Ac 0.811 0.000 0.780
Zn 0.000 0.000 0.500
Zn 0.500 0.500 0.500
O 0.128 0.000 0.782
O 0.129 0.500 0.438
O 0.371 0.000 0.562
O 0.372 0.500 0.218
O 0.628 0.500 0.782
O 0.629 0.000 0.438
O 0.871 0.500 0.562
O 0.872 0.000 0.218
F 0.000 0.500 0.000
F 0.500 0.000 0.000

(2)
! PBE Ac6Os2F, optimized geometry; values from VASP
! SG: P-31m, No. 162
! E_form (uncorrected), meV/atom: -593
&SYSTEM
  ibrav = 0, nat = 9, ntyp = 3
/
ATOMIC_SPECIES
Ac 227.00 Ac.upf
Os 190.23 Os.upf
F 19.00 F.upf
CELL_PARAMETERS angstrom
7.446 0.000 0.000
-3.723 6.448 0.000
0.000 0.000 6.904
ATOMIC_POSITIONS crystal
Ac 0.000 0.338 0.233
Ac 0.000 0.662 0.767
Ac 0.338 0.000 0.233
Ac 0.338 0.338 0.767
Ac 0.662 0.000 0.767
Ac 0.662 0.662 0.233
Os 0.333 0.667 0.000
Os 0.667 0.333 0.000
F 0.000 0.000 0.000

(3)
! PBE Ac2OsF, optimized geometry; values from VASP
! SG: R-3m, No. 166
! E_form (uncorrected), meV/atom: -1163
&SYSTEM
  ibrav = 0, nat = 12, ntyp = 3
/
ATOMIC_SPECIES
Ac 227.00 Ac.upf
Os 190.23 Os.upf
F 19.00 F.upf
CELL_PARAMETERS angstrom
4.296 0.000 0.000
-2.148 3.720 0.000
0.000 0.000 20.069
ATOMIC_POSITIONS crystal
Ac 0.000 0.000 0.247
Ac 0.000 0.000 0.753
Ac 0.333 0.667 0.419
Ac 0.333 0.667 0.914
Ac 0.667 0.333 0.086
Ac 0.667 0.333 0.581
Os 0.000 0.000 0.500
Os 0.333 0.667 0.167
Os 0.667 0.333 0.833
F 0.000 0.000 0.000
F 0.333 0.667 0.667
F 0.667 0.333 0.333

(4)
! PBE AcOsF, optimized geometry; values from VASP
! SG: C2/m, No. 12
! E_form (uncorrected), meV/atom: -1087
&SYSTEM
  ibrav = 0, nat = 12, ntyp = 3
/
ATOMIC_SPECIES
Ac 227.00 Ac.upf
Os 190.23 Os.upf
F 19.00 F.upf
CELL_PARAMETERS angstrom
6.336 0.000 0.000
0.000 5.877 0.000
-0.281 0.000 7.531
ATOMIC_POSITIONS crystal
Ac 0.137 0.000 0.244
Ac 0.363 0.500 0.756
Ac 0.637 0.500 0.244
Ac 0.863 0.000 0.756
Os 0.103 0.500 0.129
Os 0.397 0.000 0.871
Os 0.603 0.000 0.129
Os 0.897 0.500 0.871
F 0.208 0.000 0.577
F 0.292 0.500 0.423
F 0.708 0.500 0.577
F 0.792 0.000 0.423

(5)
! PBE Ac4P3F, optimized geometry; values from VASP
! SG: Amm2, No. 38
! E_form (uncorrected), meV/atom: -1732
&SYSTEM
  ibrav = 0, nat = 16, ntyp = 3
/
ATOMIC_SPECIES
Ac 227.00 Ac.upf
P 30.97 P.upf
F 19.00 F.upf
CELL_PARAMETERS angstrom
4.369 0.000 0.000
0.000 12.206 0.000
0.000 0.000 8.685
ATOMIC_POSITIONS crystal
Ac 0.000 0.000 0.000
Ac 0.000 0.000 0.484
Ac 0.000 0.500 0.500
Ac 0.000 0.500 0.984
Ac 0.500 0.249 0.742
Ac 0.500 0.251 0.242
Ac 0.500 0.749 0.242
Ac 0.500 0.751 0.742
P 0.000 0.250 0.492
P 0.000 0.250 0.992
P 0.000 0.750 0.492
P 0.000 0.750 0.992
P 0.500 0.000 0.242
P 0.500 0.500 0.742
F 0.500 0.000 0.741
F 0.500 0.500 0.241

(6)
! PBE Ac6P5F, optimized geometry; values from VASP
! SG: C2/m, No. 12
! E_form (uncorrected), meV/atom: -1672
&SYSTEM
  ibrav = 0, nat = 12, ntyp = 3
/
ATOMIC_SPECIES
Ac 227.00 Ac.upf
P 30.97 P.upf
F 19.00 F.upf
CELL_PARAMETERS angstrom
3.796 -6.568 0.000
3.796 6.568 0.000
-2.542 0.000 7.151
ATOMIC_POSITIONS crystal
Ac 0.079 0.416 0.748
Ac 0.246 0.246 0.254
Ac 0.416 0.079 0.748
Ac 0.584 0.921 0.252
Ac 0.754 0.754 0.746
Ac 0.921 0.584 0.252
P 0.000 0.000 0.500
P 0.167 0.833 0.000
P 0.332 0.668 0.500
P 0.668 0.332 0.500
P 0.833 0.167 0.000
F 0.500 0.500 0.000

(7)
! PBE AcPuPF, optimized geometry; values from VASP
! SG: F-43m, No. 216
! E_form (uncorrected), meV/atom: -1505
&SYSTEM
  ibrav = 0, nat = 16, ntyp = 4
/
ATOMIC_SPECIES
Ac 227.00 Ac.upf
Pu 244.00 Pu.upf
P 30.97 P.upf
F 19.00 F.upf
CELL_PARAMETERS angstrom
7.080 0.000 0.000
0.000 7.080 0.000
0.000 0.000 7.080
ATOMIC_POSITIONS crystal
Ac 0.000 0.000 0.000
Ac 0.000 0.500 0.500
Ac 0.500 0.000 0.500
Ac 0.500 0.500 0.000
Pu 0.000 0.000 0.500
Pu 0.000 0.500 0.000
Pu 0.500 0.000 0.000
Pu 0.500 0.500 0.500
P 0.250 0.250 0.250
P 0.250 0.750 0.750
P 0.750 0.250 0.750
P 0.750 0.750 0.250
F 0.250 0.250 0.750
F 0.250 0.750 0.250
F 0.750 0.250 0.250
F 0.750 0.750 0.750

(8)
! PBE AcPRhF, optimized geometry; values from VASP
! SG: P4/nmm, No. 129
! E_form (uncorrected), meV/atom: -2117
&SYSTEM
  ibrav = 0, nat = 8, ntyp = 4
/
ATOMIC_SPECIES
Ac 227.00 Ac.upf
P 30.97 P.upf
Rh 102.91 Rh.upf
F 19.00 F.upf
CELL_PARAMETERS angstrom
4.021 0.000 0.000
0.000 4.021 0.000
0.000 0.000 9.055
ATOMIC_POSITIONS crystal
Ac 0.250 0.250 0.194
Ac 0.750 0.750 0.806
P 0.250 0.250 0.649
P 0.750 0.750 0.351
Rh 0.250 0.750 0.500
Rh 0.750 0.250 0.500
F 0.250 0.750 0.000
F 0.750 0.250 0.000

(9)
! PBE Ac2PaF, optimized geometry; values from VASP
! SG: R-3m, No. 166
! E_form (uncorrected), meV/atom: -600
&SYSTEM
  ibrav = 0, nat = 12, ntyp = 3
/
ATOMIC_SPECIES
Ac 227.00 Ac.upf
Pa 231.04 Pa.upf
F 19.00 F.upf
CELL_PARAMETERS angstrom
3.488 0.000 0.000
-1.744 3.021 0.000
0.000 0.000 33.004
ATOMIC_POSITIONS crystal
Ac 0.000 0.000 0.104
Ac 0.000 0.000 0.896
Ac 0.333 0.667 0.563
Ac 0.333 0.667 0.771
Ac 0.667 0.333 0.229
Ac 0.667 0.333 0.437
Pa 0.000 0.000 0.000
Pa 0.333 0.667 0.667
Pa 0.667 0.333 0.333
F 0.000 0.000 0.500
F 0.333 0.667 0.167
F 0.667 0.333 0.833

(10)
! PBE AcPa2F11, optimized geometry; values from VASP
! SG: Ibam, No. 72
! E_form (uncorrected), meV/atom: -3941
&SYSTEM
  ibrav = 0, nat = 28, ntyp = 3
/
ATOMIC_SPECIES
Ac 227.00 Ac.upf
Pa 231.04 Pa.upf
F 19.00 F.upf
CELL_PARAMETERS angstrom
-4.312 5.389 5.941
4.312 -5.389 5.941
4.312 5.389 -5.941
ATOMIC_POSITIONS crystal
Ac 0.250 0.250 0.000
Ac 0.750 0.750 0.000
Pa 0.181 0.646 0.827
Pa 0.319 0.146 0.465
Pa 0.681 0.854 0.535
Pa 0.819 0.354 0.173
F 0.000 0.500 0.500
F 0.046 0.957 0.277
F 0.058 0.359 0.153
F 0.180 0.457 0.910
F 0.205 0.905 0.847
F 0.216 0.369 0.586
F 0.284 0.869 0.153
F 0.295 0.141 0.699
F 0.320 0.230 0.277
F 0.442 0.595 0.301
F 0.454 0.730 0.910
F 0.500 0.000 0.500
F 0.546 0.270 0.090
F 0.558 0.405 0.699
F 0.680 0.770 0.723
F 0.705 0.859 0.301
F 0.716 0.131 0.847
F 0.784 0.631 0.414
F 0.795 0.095 0.153
F 0.820 0.543 0.090
F 0.942 0.641 0.847
F 0.954 0.043 0.723

(11)
! PBE AcPaF6, optimized geometry; values from VASP
! SG: Fm-3m, No. 225
! E_form (uncorrected), meV/atom: -3728
&SYSTEM
  ibrav = 0, nat = 8, ntyp = 3
/
ATOMIC_SPECIES
Ac 227.00 Ac.upf
Pa 231.04 Pa.upf
F 19.00 F.upf
CELL_PARAMETERS angstrom
0.000 4.747 4.747
4.747 0.000 4.747
4.747 4.747 0.000
ATOMIC_POSITIONS crystal
Ac 0.000 0.000 0.000
Pa 0.500 0.500 0.500
F 0.257 0.257 0.743
F 0.257 0.743 0.257
F 0.257 0.743 0.743
F 0.743 0.257 0.257
F 0.743 0.257 0.743
F 0.743 0.743 0.257

(12)
! PBE AcPaF, optimized geometry; values from VASP
! SG: C2/m, No. 12
! E_form (uncorrected), meV/atom: -1298
&SYSTEM
  ibrav = 0, nat = 12, ntyp = 3
/
ATOMIC_SPECIES
Ac 227.00 Ac.upf
Pa 231.04 Pa.upf
F 19.00 F.upf
CELL_PARAMETERS angstrom
8.869 0.000 0.000
0.000 4.051 0.000
-2.275 0.000 9.316
ATOMIC_POSITIONS crystal
Ac 0.087 0.000 0.305
Ac 0.413 0.500 0.695
Ac 0.587 0.500 0.305
Ac 0.913 0.000 0.695
Pa 0.147 0.500 0.989
Pa 0.353 0.000 0.011
Pa 0.647 0.000 0.989
Pa 0.853 0.500 0.011
F 0.166 0.000 0.574
F 0.334 0.500 0.426
F 0.666 0.500 0.574
F 0.834 0.000 0.426